Crystalline ScGaIN2 at its relaxed geometry. Source: the Alexandria database, functional GGA-PBE.

Properties
E_form (uncorrected) in kcal/mol of atoms: 12.415
Fermi-level density of states in states/eV/atom: 0.63
SG: P4/mmm

Cell: 4.245 4.245 6.128 Å, 90.00 90.00 90.00°
Atoms (fractional coordinates):
Sc 0.000 0.000 0.000
Ga 0.500 0.500 0.500
I 0.000 0.000 0.500
N 0.000 0.500 0.000
N 0.500 0.000 0.000

***

Crystalline PmYPd at its relaxed geometry. Source: the Alexandria database, functional GGA-PBE.

Properties
Fermi-level density of states in states/eV/atom: 1.08
SG: Pmma
Calculated formation energy in eV/atom: -0.57

Cell: 15.187 3.850 8.273 Å, 90.00 90.00 90.00°
Atoms (fractional coordinates):
Pm 0.056 0.000 0.199
Pm 0.250 0.000 0.874
Pm 0.444 0.000 0.199
Pm 0.556 0.000 0.801
Pm 0.750 0.000 0.126
Pm 0.944 0.000 0.801
Y 0.110 0.500 0.579
Y 0.250 0.500 0.241
Y 0.390 0.500 0.579
Y 0.610 0.500 0.421
Y 0.750 0.500 0.759
Y 0.890 0.500 0.421
Pd 0.095 0.500 0.931
Pd 0.250 0.000 0.504
Pd 0.405 0.500 0.931
Pd 0.595 0.500 0.069
Pd 0.750 0.000 0.496
Pd 0.905 0.500 0.069

***

Crystalline Cs3NiAg2Br6 at its relaxed geometry. Source: the Alexandria database, functional GGA-PBE.

Properties
E_form (uncorrected) in kcal/mol of atoms: -20.364
Fermi-level density of states in states/eV/atom: 0.28
SG: P-3m1

Cell: 8.109 8.109 9.090 Å, 90.00 90.00 120.00°
Atoms (fractional coordinates):
Cs 0.000 0.000 0.000
Cs 0.333 0.667 0.654
Cs 0.667 0.333 0.346
Ni 0.000 0.000 0.500
Ag 0.333 0.667 0.262
Ag 0.667 0.333 0.738
Br 0.150 0.300 0.320
Br 0.150 0.850 0.320
Br 0.300 0.150 0.680
Br 0.700 0.850 0.320
Br 0.850 0.150 0.680
Br 0.850 0.700 0.680